A plane-wave DFT calculation with GGA-PBE was carried out for crystalline Ge2WSe8 at its relaxed geometry.

Results
Crystal system: monoclinic
Density of states at the Fermi level, states/eV per atom: 0.62
Raw formation energy, eV per atom: -0.037
Volume, A^3/atom: 27.7
DFT total energy, eV per atom: -4.5884

CIF file:
```
data_Ge2WSe8
_chemical_formula_sum 'Ge4 W2 Se16'
_symmetry_space_group_name_H-M 'C 1 2/m 1'
_symmetry_Int_Tables_number 12
_cell_length_a 11.6545
_cell_length_b 9.1536
_cell_length_c 5.7429
_cell_angle_alpha 90.00
_cell_angle_beta 95.53
_cell_angle_gamma 90.00
loop_
_symmetry_equiv_pos_as_xyz
'x,y,z'
'-x,-y,-z'
'-x,y,-z'
'x,-y,z'
'x+1/2,y+1/2,z'
'-x+1/2,-y+1/2,-z'
'-x+1/2,y+1/2,-z'
'x+1/2,-y+1/2,z'
loop_
_atom_site_label
_atom_site_type_symbol
_atom_site_fract_x
_atom_site_fract_y
_atom_site_fract_z
Ge1 Ge 0.1942 0.0000 0.0837
W1 W 0.0000 0.0000 0.5000
Se1 Se 0.0596 0.1942 0.2042
Se2 Se 0.1271 0.5000 0.7115
Se3 Se 0.2056 0.0000 0.6603
```